# PBE Th2NbCo3As4, relaxed
data_Th2NbCo3As4
_symmetry_space_group_name_H-M 'P -4 m 2'
_symmetry_Int_Tables_number 115
_cell_length_a 4.1866
_cell_length_b 4.1866
_cell_length_c 10.0406
_cell_angle_alpha 90.00
_cell_angle_beta 90.00
_cell_angle_gamma 90.00
loop_
_symmetry_equiv_pos_as_xyz
'x,y,z'
'y,-x,-z'
'-x,-y,z'
'-y,x,-z'
'-x,y,z'
'-y,-x,-z'
'x,-y,z'
'y,x,-z'
loop_
_atom_site_label
_atom_site_type_symbol
_atom_site_fract_x
_atom_site_fract_y
_atom_site_fract_z
Th1 Th 0.0000 0.5000 0.2313
Nb1 Nb 0.0000 0.0000 0.5000
Co1 Co 0.0000 0.5000 0.8903
Co2 Co 0.5000 0.5000 0.5000
As1 As 0.0000 0.0000 0.0000
As2 As 0.0000 0.5000 0.6531
As3 As 0.5000 0.5000 0.0000
# * VASP energy: -71.93 eV per cell
# * mass density: 9.75 g cm⁻³
# * spin magnetization: 1.38 μB/f.u.